Record 1
TbNd2Y2Tm2, optimized geometry, DFT PBE-GGA; magnetization = 0.0 μB per formula unit; energy relative to the elements = 0.09 eV per atom
1.0
3.5155 0.0000 0.0000
-1.7577 5.6327 1.6501
0.0000 0.5084 11.8070
Nd Y Tm Tb
2 2 2 1
Direct
0.6719 0.3439 0.9145
0.3281 0.6561 0.0855
0.4516 0.9032 0.7698
0.5484 0.0968 0.2302
0.7721 0.5442 0.3657
0.2279 0.4558 0.6343
0.0000 0.0000 0.5000

Record 2
Ho3AlTl3Te8, optimized geometry, DFT PBE-GGA; magnetization = 0.0 μB per formula unit; raw formation energy = -0.846 eV per atom
1.0
-7.8864 -2.6512 -2.4810
5.0876 -5.2804 4.6689
-3.9528 7.4346 4.6199
Te Al Ho Tl
8 1 3 3
Direct
0.2227 0.9781 0.7010
0.2615 0.5230 0.2843
0.7773 0.5547 0.2990
0.2446 0.0219 0.2990
0.2227 0.4453 0.7010
0.7773 0.0219 0.2990
0.7385 0.4770 0.7157
0.7554 0.9781 0.7010
0.0000 0.0000 0.5000
0.5000 0.5000 0.5000
0.5000 0.0000 0.5000
0.0000 0.5000 0.5000
0.0000 0.0000 0.0000
0.0000 0.5000 0.0000
0.5000 0.5000 0.0000

Record 3
PmMoP2, optimized geometry, DFT PBE-GGA; energy above the lowest structure with this stoichiometry = 0.00 eV/f.u.; magnetization = 0.9 μB per formula unit; energy relative to the elements = -0.77 eV per atom
1.0
3.8411 0.0000 0.0000
1.9205 3.3265 0.0000
1.9205 1.1088 6.0075
Mo P Pm
1 2 1
Direct
0.0000 0.0000 0.0000
0.7346 0.7346 0.7963
0.2654 0.2654 0.2037
0.5000 0.5000 0.5000

Record 4
ZrInNiPt, optimized geometry, DFT PBE-GGA; magnetization = 0.0 μB per formula unit; energy relative to the elements = -0.61 eV per atom
1.0
-1.6288 -3.0553 3.0438
2.4226 -0.9880 3.7958
-1.4922 1.4246 4.1227
In Pt Ni Zr
1 1 1 1
Direct
0.0000 0.0000 0.0000
0.7500 0.7500 0.7500
0.2500 0.2500 0.2500
0.5000 0.5000 0.5000

Record 5
Pu2AgIr, optimized geometry, DFT PBE-GGA; magnetization = 10.9 μB per formula unit; energy relative to the elements = -0.24 eV per atom
1.0
3.3650 0.0000 0.0000
0.0000 3.3650 0.0000
0.0000 0.0000 7.9059
Ag Pu Ir
1 2 1
Direct
0.5000 0.5000 0.5000
0.0000 0.0000 0.2175
0.0000 0.0000 0.7825
0.5000 0.5000 0.0000

Record 6
Ac12InPt6, optimized geometry, DFT PBE-GGA; magnetization = 0.0 μB per formula unit; energy relative to the elements = -0.78 eV per atom
1.0
8.9602 0.0000 -3.1679
-4.4801 7.7598 -3.1679
0.0000 0.0000 9.5037
Pt Ac In
6 12 1
Direct
0.6320 0.5000 0.1320
0.1320 0.6320 0.5000
0.5000 0.8680 0.3680
0.8680 0.3680 0.5000
0.5000 0.1320 0.6320
0.3680 0.5000 0.8680
0.6899 0.5119 0.8220
0.1780 0.6899 0.8680
0.1320 0.8220 0.3101
0.3101 0.1320 0.8220
0.5119 0.8220 0.6899
0.3101 0.4881 0.1780
0.6899 0.8680 0.1780
0.8220 0.3101 0.1320
0.8220 0.6899 0.5119
0.4881 0.1780 0.3101
0.1780 0.3101 0.4881
0.8680 0.1780 0.6899
0.0000 0.0000 0.0000

Record 7
KZnAu, optimized geometry, DFT PBE-GGA; energy above the lowest structure with this stoichiometry = 0.71 eV/f.u.; magnetization = 0.0 μB per formula unit; energy relative to the elements = 0.00 eV per atom
1.0
4.3792 0.8233 1.0120
0.0709 4.4554 1.0120
0.0709 0.0841 4.5681
Zn K Au
1 1 1
Direct
0.0732 0.0732 0.0732
0.4537 0.4537 0.4537
0.8033 0.8033 0.8033

Record 8
Mn2OsBr, optimized geometry, DFT PBE-GGA; energy above the lowest structure with this stoichiometry = 1.25 eV/f.u.; magnetization = 5.1 μB per formula unit; raw formation energy = 0.615 eV per atom
1.0
8.8839 -0.0329 -0.0193
8.4237 2.8223 -0.0193
8.4237 1.3576 2.4744
Mn Os Br
2 1 1
Direct
0.2529 0.2529 0.2529
0.9964 0.9964 0.9964
0.5148 0.5148 0.5148
0.7359 0.7359 0.7359

Record 9
Nd3Er5H12, optimized geometry, DFT PBE-GGA; magnetization = 0.0 μB per formula unit; uncorrected energy = -4.323 eV per atom
1.0
11.4290 0.0000 0.0000
-3.8097 10.7754 0.0000
-3.8097 -5.3877 9.3317
H Er Nd
48 20 12
Direct
0.2184 0.5574 0.6438
0.9136 0.0747 0.8562
0.2816 0.4253 0.8390
0.9253 0.8390 0.7816
0.8390 0.9253 0.2816
0.5747 0.8562 0.4136
0.2816 0.8562 0.9426
0.6438 0.0574 0.2184
0.3390 0.5574 0.4136
0.6610 0.4426 0.5864
0.1438 0.4253 0.0864
0.9426 0.5864 0.1610
0.0864 0.1610 0.4426
0.7816 0.4426 0.3562
0.4136 0.3562 0.5747
0.1610 0.0864 0.9426
0.1610 0.0747 0.7184
0.3562 0.9426 0.7816
0.8562 0.5747 0.9136
0.6438 0.5864 0.9253
0.2184 0.6610 0.0747
0.0864 0.9253 0.1438
0.1438 0.7184 0.5574
0.8562 0.2816 0.4426
0.9253 0.0864 0.6438
0.9426 0.3562 0.2816
0.4253 0.1438 0.5864
0.5864 0.6438 0.4253
0.0574 0.4136 0.8390
0.8390 0.9136 0.0574
0.7184 0.1438 0.0574
0.4136 0.0574 0.3390
0.4253 0.2816 0.3390
0.4426 0.7816 0.8562
0.0747 0.1610 0.2184
0.7816 0.3390 0.9253
0.3390 0.7816 0.4253
0.7184 0.5747 0.1610
0.5574 0.2184 0.1438
0.5574 0.3390 0.9136
0.3562 0.4136 0.0747
0.5747 0.7184 0.6610
0.0747 0.9136 0.3562
0.4426 0.6610 0.0864
0.0574 0.6438 0.7184
0.9136 0.8390 0.5574
0.6610 0.2184 0.5747
0.5864 0.9426 0.6610
0.5000 0.0000 0.0000
0.5000 0.5000 0.5000
0.0000 0.0000 0.5000
0.8750 0.2500 0.6250
0.2500 0.8750 0.1250
0.8750 0.6250 0.7500
0.6250 0.7500 0.8750
0.3750 0.1250 0.7500
0.3750 0.2500 0.1250
0.7500 0.1250 0.8750
0.5000 0.5000 0.0000
0.0000 0.5000 0.0000
0.0000 0.5000 0.5000
0.5000 0.0000 0.5000
0.0000 0.0000 0.0000
0.7500 0.6250 0.3750
0.1250 0.7500 0.3750
0.6250 0.8750 0.2500
0.1250 0.3750 0.2500
0.2500 0.3750 0.6250
0.2500 0.6250 0.8750
0.7500 0.3750 0.1250
0.8750 0.1250 0.2500
0.1250 0.8750 0.7500
0.1250 0.2500 0.8750
0.6250 0.2500 0.3750
0.3750 0.7500 0.6250
0.8750 0.7500 0.1250
0.3750 0.6250 0.2500
0.2500 0.1250 0.3750
0.7500 0.8750 0.6250
0.6250 0.3750 0.7500

Record 10
LaReSb, optimized geometry, DFT PBE-GGA; energy above the lowest structure with this stoichiometry = 0.59 eV/f.u.; magnetization = 0.0 μB per formula unit; raw formation energy = 0.174 eV per atom
1.0
4.7673 0.0000 0.0000
2.3837 4.1286 0.0000
2.3837 1.3762 3.8925
La Sb Re
1 1 1
Direct
0.5000 0.5000 0.5000
0.0000 0.0000 0.0000
0.7500 0.7500 0.7500

Record 11
TbDySbS, optimized geometry, DFT PBE-GGA; magnetization = 0.0 μB per formula unit; raw formation energy = -1.269 eV per atom
1.0
4.9505 0.0000 0.0000
2.4752 4.2872 0.0000
2.4752 1.4291 10.6793
Sb Dy Tb S
2 2 2 2
Direct
0.8941 0.8941 0.3176
0.1059 0.1059 0.6824
0.2055 0.2055 0.3835
0.7945 0.7945 0.6165
0.6219 0.6219 0.1342
0.3781 0.3781 0.8658
0.2950 0.2950 0.1149
0.7050 0.7050 0.8851

Record 12
Nd2YI, optimized geometry, DFT PBE-GGA; energy above the lowest structure with this stoichiometry = 0.08 eV/f.u.; magnetization = 0.0 μB per formula unit; raw formation energy = -0.386 eV per atom
1.0
-0.3146 -3.7027 0.8496
0.9667 -2.6359 -2.5784
10.3808 -2.1042 3.2254
Nd I Y
2 1 1
Direct
0.2547 0.2547 0.2359
0.7453 0.7453 0.7641
0.0000 0.0000 0.0000
0.5000 0.5000 0.5000

Record 13
TiFe2Re, optimized geometry, DFT PBE-GGA; magnetization = 0.0 μB per formula unit; energy relative to the elements = -0.08 eV per atom
1.0
-0.3580 0.3484 2.7658
-0.9294 -2.6439 0.2127
6.0035 -2.0274 1.0324
Fe Re Ti
2 1 1
Direct
0.0000 0.0000 0.7645
0.0000 0.0000 0.2355
0.5000 0.5000 0.5000
0.5000 0.5000 0.0000

Record 14
CdCu5S4, optimized geometry, DFT PBE-GGA; magnetization = 0.0 μB per formula unit; raw formation energy = -0.180 eV per atom
1.0
-1.2916 -5.2320 -1.1879
4.9853 0.1429 -6.0497
6.2139 -2.6823 5.0572
Cu Cd S
10 2 8
Direct
0.8113 0.2503 0.6696
0.8113 0.7497 0.3304
0.1887 0.7503 0.8304
0.7377 0.5000 0.0000
0.8113 0.2503 0.3304
0.1887 0.7503 0.1696
0.1887 0.2497 0.8304
0.8113 0.7497 0.6696
0.2623 0.0000 0.5000
0.1887 0.2497 0.1696
0.7432 0.0000 0.0000
0.2568 0.5000 0.5000
0.4919 0.2669 0.0000
0.9795 0.5000 0.7657
0.9795 0.5000 0.2343
0.4919 0.7331 0.0000
0.5081 0.7669 0.5000
0.5081 0.2331 0.5000
0.0205 0.0000 0.2657
0.0205 0.0000 0.7343

Record 15
BiPd2RhI, optimized geometry, DFT PBE-GGA; magnetization = 0.6 μB per formula unit; raw formation energy = 0.665 eV per atom
1.0
5.0779 0.0000 0.0000
0.0000 5.0363 0.0000
0.0000 0.0000 5.0779
Bi Rh Pd I
1 1 2 1
Direct
0.0000 0.5000 0.0000
0.0000 0.0000 0.0000
0.0000 0.0000 0.5000
0.5000 0.0000 0.0000
0.5000 0.5000 0.5000

Record 16
HoGaIr2, optimized geometry, DFT PBE-GGA; magnetization = 0.0 μB per formula unit; energy relative to the elements = -0.58 eV per atom
1.0
3.2839 0.0000 0.0000
0.0000 3.2839 0.0000
0.0000 0.0000 6.3271
Ga Ho Ir
1 1 2
Direct
0.5000 0.5000 0.0000
0.5000 0.5000 0.5000
0.0000 0.0000 0.2209
0.0000 0.0000 0.7791

Record 17
Cs2As2OF10, optimized geometry, DFT PBE-GGA; magnetization = 0.1 μB per formula unit; raw formation energy = -2.358 eV per atom
1.0
10.8948 0.0000 0.0000
0.0000 5.7355 -0.0487
0.0000 2.4120 8.9675
As F Cs O
4 20 4 2
Direct
0.2500 0.4891 0.5182
0.2500 0.2821 0.8848
0.7500 0.5109 0.4818
0.7500 0.7179 0.1152
0.9156 0.7261 0.1079
0.1353 0.7190 0.4774
0.7500 0.9217 0.9332
0.1328 0.2644 0.5458
0.8647 0.2810 0.5226
0.3672 0.2644 0.5458
0.7500 0.4793 0.0250
0.2500 0.0268 0.8095
0.5844 0.7261 0.1079
0.3647 0.7190 0.4774
0.2500 0.0783 0.0668
0.6328 0.7356 0.4542
0.0844 0.2739 0.8921
0.2500 0.5207 0.9750
0.7500 0.9732 0.1905
0.6353 0.2810 0.5226
0.7500 0.5126 0.6744
0.8672 0.7356 0.4542
0.4156 0.2739 0.8921
0.2500 0.4874 0.3256
0.9865 0.8257 0.7529
0.0135 0.1743 0.2471
0.5135 0.8257 0.7529
0.4865 0.1743 0.2471
0.7500 0.4917 0.2897
0.2500 0.5083 0.7103

Record 18
HfPd6Au3, optimized geometry, DFT PBE-GGA; energy above the lowest structure with this stoichiometry = 0.37 eV/f.u.; magnetization = 0.0 μB per formula unit; energy relative to the elements = -0.37 eV per atom
1.0
-0.4554 3.1132 -2.6114
-1.1579 -2.6356 -2.9402
-18.2490 -1.1605 8.2269
Pd Au Hf
12 6 2
Direct
0.2996 0.5009 0.2990
0.9022 0.4995 0.9024
0.7996 0.9991 0.7990
0.5978 0.9995 0.5976
0.4022 0.0005 0.4024
0.2004 0.0009 0.2010
0.7004 0.4991 0.7010
0.9025 0.5004 0.4028
0.4025 0.9996 0.9028
0.5975 0.0004 0.0972
0.0975 0.4996 0.5972
0.0978 0.5005 0.0976
0.3021 0.4991 0.8022
0.6979 0.5009 0.1978
0.8021 0.0009 0.3022
0.1979 0.9991 0.6978
0.5000 0.5000 0.0000
0.0000 0.0000 0.5000
0.0000 0.0000 0.0000
0.5000 0.5000 0.5000

Record 19
Pu2ScHg3, optimized geometry, DFT PBE-GGA; magnetization = 11.5 μB per formula unit; energy relative to the elements = -0.21 eV per atom
1.0
3.3138 0.0000 0.0000
0.0000 3.3138 0.0000
0.0000 0.0000 13.1409
Pu Hg Sc
2 3 1
Direct
0.5000 0.5000 0.8222
0.5000 0.5000 0.1778
0.0000 0.0000 0.0000
0.0000 0.0000 0.6454
0.0000 0.0000 0.3546
0.5000 0.5000 0.5000

Record 20
HoB2H6, optimized geometry, DFT PBE-GGA; magnetization = 0.0 μB per formula unit; uncorrected energy = -2.979 eV per atom
1.0
0.2261 0.5682 4.4564
2.0730 -3.0664 2.5559
3.9350 0.9824 1.9452
H Ho B
6 1 2
Direct
0.6487 0.6487 0.3513
0.3513 0.6487 0.6487
0.6487 0.3513 0.3513
0.6487 0.3513 0.6487
0.3513 0.6487 0.3513
0.3513 0.3513 0.6487
0.0000 0.0000 0.0000
0.7500 0.7500 0.7500
0.2500 0.2500 0.2500